--- A ---
## CeSm3Sb3 (PBE)

Data for a geometry-optimized CeSm3Sb3 structure.

Calculated values
- mass density (g/cm3) = 7.610
- SG = P2_13 (198)

abc: 9.4160 9.4160 9.4160
angles: 90.00 90.00 90.00
Site moments in Bohr magnetons follow the coordinates.
Element x y z (fractional)
Sb 0.3773 0.4991 0.7513  -0.01
Sb 0.6227 0.9991 0.7487  -0.01
Sb 0.1227 0.5009 0.2513  -0.01
Sb 0.2487 0.8773 0.0009  -0.01
Sb 0.5009 0.2513 0.1227  -0.01
Sb 0.0009 0.2487 0.8773  -0.01
Sb 0.9991 0.7487 0.6227  -0.01
Sb 0.8773 0.0009 0.2487  -0.01
Sb 0.2513 0.1227 0.5009  -0.01
Sb 0.7513 0.3773 0.4991  -0.01
Sb 0.7487 0.6227 0.9991  -0.01
Sb 0.4991 0.7513 0.3773  -0.01
Ce 0.4282 0.4282 0.4282  0.87
Ce 0.0718 0.5718 0.9282  0.87
Ce 0.9282 0.0718 0.5718  0.87
Ce 0.5718 0.9282 0.0718  0.87
Sm 0.5727 0.0727 0.4273  0.12
Sm 0.8198 0.6802 0.3198  0.04
Sm 0.8208 0.3208 0.1792  0.03
Sm 0.1802 0.1802 0.1802  0.04
Sm 0.1792 0.8208 0.3208  0.03
Sm 0.3198 0.8198 0.6802  0.04
Sm 0.3208 0.1792 0.8208  0.03
Sm 0.6802 0.3198 0.8198  0.04
Sm 0.9273 0.9273 0.9273  0.12
Sm 0.4273 0.5727 0.0727  0.12
Sm 0.6792 0.6792 0.6792  0.03
Sm 0.0727 0.4273 0.5727  0.12


--- B ---
## CeSm3Sb3 (PBE)

Data for a geometry-optimized CeSm3Sb3 structure.

Calculated values
- mass density (g/cm3) = 7.389
- SG = P6_3/m (176)

abc: 5.8478 9.2135 9.2135
angles: 120.00 90.00 90.00
Site moments in Bohr magnetons follow the coordinates.
Element x y z (fractional)
Sm 0.7500 0.2413 0.2551  0.10
Sm 0.2500 0.7587 0.7449  0.10
Sm 0.2500 0.9861 0.2413  0.10
Sm 0.7500 0.0139 0.7587  0.10
Sm 0.2500 0.2551 0.0139  0.10
Sm 0.7500 0.7449 0.9861  0.10
Sb 0.2500 0.0564 0.6320  -0.02
Sb 0.2500 0.5755 0.9436  -0.02
Sb 0.2500 0.3680 0.4245  -0.02
Sb 0.7500 0.6320 0.5755  -0.02
Sb 0.7500 0.4245 0.0564  -0.02
Sb 0.7500 0.9436 0.3680  -0.02
Ce 0.2500 0.6667 0.3333  1.09
Ce 0.7500 0.3333 0.6667  1.09


Which structure loses on stability? B does.


--- A ---
## CeSmSbTe (PBE)

Data for a geometry-optimized CeSmSbTe structure.

Calculated values
- mass density (g/cm3) = 7.019
- SG = R3m (160)

abc: 4.4772 4.4772 7.7973
angles: 73.32 73.32 60.00
Site moments in Bohr magnetons follow the coordinates.
Element x y z (fractional)
Sb 0.1952 0.1952 0.4145  -0.01
Te 0.6931 0.6931 0.9207  -0.01
Sm 0.9417 0.9417 0.1749  0.03
Ce 0.4465 0.4465 0.6606  0.94


--- B ---
## CeSmSbTe (PBE)

Data for a geometry-optimized CeSmSbTe structure.

Calculated values
- mass density (g/cm3) = 7.819
- SG = F-43m (216)

abc: 5.4528 5.4528 5.4528
angles: 60.00 60.00 60.00
Site moments in Bohr magnetons follow the coordinates.
Element x y z (fractional)
Ce 0.7500 0.7500 0.7500  1.00
Sb 0.5000 0.5000 0.5000  -0.04
Te 0.0000 0.0000 0.0000  -0.04
Sm 0.2500 0.2500 0.2500  0.33


Which structure loses on stability? B does.


--- A ---
## Ce5Sn2Sb2 (PBE)

Data for a geometry-optimized Ce5Sn2Sb2 structure.

Calculated values
- mass density (g/cm3) = 7.121
- SG = Cmce (64)

abc: 8.3475 8.3644 8.9275
angles: 90.00 62.13 90.00
Site moments in Bohr magnetons follow the coordinates.
Element x y z (fractional)
Ce 0.3132 0.6729 0.7231  0.95
Ce 0.8132 0.8271 0.7231  0.95
Ce 0.5000 0.5000 0.0000  0.92
Ce 0.9636 0.3271 0.7231  0.95
Ce 0.6868 0.3271 0.2769  0.95
Ce 0.0000 0.0000 0.0000  0.92
Ce 0.5364 0.8271 0.2769  0.95
Ce 0.0364 0.6729 0.2769  0.95
Ce 0.1868 0.1729 0.2769  0.95
Ce 0.4636 0.1729 0.7231  0.95
Sn 0.6270 0.1280 0.0000  -0.04
Sn 0.3730 0.8720 0.0000  -0.04
Sn 0.1270 0.3720 0.0000  -0.04
Sn 0.8730 0.6280 0.0000  -0.04
Sb 0.7952 0.0000 0.4095  -0.04
Sb 0.2952 0.5000 0.4095  -0.04
Sb 0.2048 0.0000 0.5905  -0.04
Sb 0.7048 0.5000 0.5905  -0.04


--- B ---
## Ce5Sn2Sb2 (PBE)

Data for a geometry-optimized Ce5Sn2Sb2 structure.

Calculated values
- mass density (g/cm3) = 7.073
- SG = Cmce (64)

abc: 8.3934 8.3383 8.9564
angles: 117.74 90.00 90.00
Site moments in Bohr magnetons follow the coordinates.
Element x y z (fractional)
Sn 0.0000 0.2043 0.4085  -0.05
Sn 0.5000 0.7043 0.4085  -0.05
Sn 0.5000 0.2957 0.5915  -0.05
Sn 0.0000 0.7957 0.5915  -0.05
Sb 0.1377 0.6360 0.0000  -0.04
Sb 0.3623 0.1360 0.0000  -0.04
Sb 0.6377 0.8640 0.0000  -0.04
Sb 0.8623 0.3640 0.0000  -0.04
Ce 0.1673 0.4675 0.2737  0.91
Ce 0.1673 0.1937 0.7263  0.91
Ce 0.3327 0.9675 0.2737  0.91
Ce 0.5000 0.5000 0.0000  0.94
Ce 0.3327 0.6937 0.7263  0.91
Ce 0.6673 0.3063 0.2737  0.91
Ce 0.8327 0.8063 0.2737  0.91
Ce 0.0000 0.0000 0.0000  0.94
Ce 0.8327 0.5325 0.7263  0.91
Ce 0.6673 0.0325 0.7263  0.91


Which structure loses on stability? B does.


--- A ---
## Ce4Sn5Sb (PBE)

Data for a geometry-optimized Ce4Sn5Sb structure.

Calculated values
- mass density (g/cm3) = 7.100
- SG = Immm (71)

abc: 4.4812 12.0654 11.0364
angles: 90.00 90.00 90.00
Site moments in Bohr magnetons follow the coordinates.
Element x y z (fractional)
Sn 0.2501 0.1817 0.8070  -0.01
Sn 0.2504 0.0000 0.5000  -0.02
Sn 0.7496 0.5000 0.0000  -0.02
Sn 0.7499 0.6817 0.3070  -0.01
Sn 0.2501 0.8183 0.8070  -0.01
Sn 0.7499 0.3183 0.6930  -0.01
Sn 0.7499 0.3183 0.3070  -0.01
Sn 0.2501 0.1817 0.1930  -0.01
Sn 0.7499 0.6817 0.6930  -0.01
Sn 0.2501 0.8183 0.1930  -0.01
Ce 0.7501 0.2504 0.0000  0.42
Ce 0.2497 0.5000 0.7925  0.46
Ce 0.2499 0.2496 0.5000  0.42
Ce 0.2499 0.7504 0.5000  0.42
Ce 0.7503 0.0000 0.2925  0.46
Ce 0.7503 0.0000 0.7075  0.46
Ce 0.2497 0.5000 0.2075  0.46
Ce 0.7501 0.7496 0.0000  0.42
Sb 0.7499 0.0000 0.0000  -0.01
Sb 0.2501 0.5000 0.5000  -0.01


--- B ---
## Ce4Sn5Sb (PBE)

Data for a geometry-optimized Ce4Sn5Sb structure.

Calculated values
- mass density (g/cm3) = 7.179
- SG = Immm (71)

abc: 4.4272 8.4691 8.4691
angles: 82.25 74.85 74.85
Site moments in Bohr magnetons follow the coordinates.
Element x y z (fractional)
Ce 0.2500 0.2789 0.7211  0.73
Ce 0.5644 0.1856 0.1856  0.69
Ce 0.2500 0.7211 0.2789  0.73
Ce 0.9356 0.8144 0.8144  0.69
Sb 0.2500 0.0000 0.0000  -0.03
Sn 0.5508 0.5181 0.8802  0.00
Sn 0.9492 0.1198 0.4819  0.00
Sn 0.7500 0.5000 0.5000  0.00
Sn 0.5508 0.8802 0.5181  0.00
Sn 0.9492 0.4819 0.1198  0.00


Which structure loses on stability? A does.


--- A ---
## CeSnSb2 (PBE)

Data for a geometry-optimized CeSnSb2 structure.

Calculated values
- mass density (g/cm3) = 6.335
- SG = R-3m (166)

abc: 3.8465 3.8465 10.5143
angles: 79.46 79.46 60.00
Site moments in Bohr magnetons follow the coordinates.
Element x y z (fractional)
Ce 0.0000 0.0000 0.0000  1.01
Sb 0.8988 0.8988 0.3036  -0.01
Sb 0.1012 0.1012 0.6964  -0.01
Sn 0.5000 0.5000 0.5000  0.00


--- B ---
## CeSnSb2 (PBE)

Data for a geometry-optimized CeSnSb2 structure.

Calculated values
- mass density (g/cm3) = 7.828
- SG = P4/mmm (123)

abc: 4.3875 4.9282 4.9282
angles: 90.00 90.00 90.00
Element x y z (fractional)
Sb 0.0000 0.5000 0.0000
Sb 0.0000 0.0000 0.5000
Ce 0.5000 0.5000 0.5000
Sn 0.5000 0.0000 0.0000


Which structure loses on stability? A does.


--- A ---
## Ce2SnSb4 (PBE)

Data for a geometry-optimized Ce2SnSb4 structure.

Calculated values
- mass density (g/cm3) = 6.891
- SG = P-4m2 (115)

abc: 4.3794 4.3794 11.1314
angles: 90.00 90.00 90.00
Site moments in Bohr magnetons follow the coordinates.
Element x y z (fractional)
Sb 0.5000 0.5000 0.5000  -0.01
Sb 0.0000 0.5000 0.8028  -0.01
Sb 0.5000 0.0000 0.1972  -0.01
Sb 0.0000 0.0000 0.5000  -0.01
Sn 0.5000 0.5000 0.0000  0.03
Ce 0.0000 0.5000 0.2785  0.72
Ce 0.5000 0.0000 0.7215  0.72


--- B ---
## Ce2SnSb4 (PBE)

Data for a geometry-optimized Ce2SnSb4 structure.

Calculated values
- mass density (g/cm3) = 7.217
- SG = C2/m (12)

abc: 6.7857 6.7857 6.5081
angles: 121.18 121.18 90.11
Site moments in Bohr magnetons follow the coordinates.
Element x y z (fractional)
Sb 0.7859 0.7859 0.0717  -0.01
Sb 0.2856 0.2856 0.0712  -0.01
Sb 0.7856 0.2857 0.0714  -0.01
Sb 0.2857 0.7856 0.0714  -0.01
Ce 0.7856 0.2858 0.5714  0.33
Ce 0.2858 0.7856 0.5714  0.33
Sn 0.7858 0.7858 0.5715  0.00


Which structure loses on stability? A does.


--- A ---
## Ce6SnSb2 (PBE)

Data for a geometry-optimized Ce6SnSb2 structure.

Calculated values
- mass density (g/cm3) = 7.485
- SG = Amm2 (38)

abc: 4.3609 8.6043 8.3124
angles: 121.17 90.00 90.00
Site moments in Bohr magnetons follow the coordinates.
Element x y z (fractional)
Ce 0.5000 0.4208 0.4133  0.99
Ce 0.0000 0.9407 0.1962  0.81
Ce 0.5000 0.0075 0.5867  0.99
Ce 0.5000 0.5372 0.0000  0.82
Ce 0.0000 0.7445 0.8038  0.81
Ce 0.0000 0.3095 0.0000  0.73
Sb 0.0000 0.3055 0.6203  -0.03
Sb 0.0000 0.6852 0.3797  -0.03
Sn 0.5000 0.0492 0.0000  -0.03


--- B ---
## Ce6SnSb2 (PBE)

Data for a geometry-optimized Ce6SnSb2 structure.

Calculated values
- mass density (g/cm3) = 8.759
- SG = P6/mmm (191)

abc: 3.2591 8.9888 8.9887
angles: 120.00 90.00 90.00
Site moments in Bohr magnetons follow the coordinates.
Element x y z (fractional)
Ce 0.5000 0.0000 0.3357  0.54
Ce 0.5000 0.3357 0.0000  0.54
Ce 0.5000 0.3357 0.3357  0.54
Ce 0.5000 0.6643 0.0000  0.54
Ce 0.5000 0.0000 0.6643  0.54
Ce 0.5000 0.6643 0.6643  0.54
Sb 0.0000 0.6667 0.3333  -0.01
Sb 0.0000 0.3333 0.6667  -0.01
Sn 0.0000 0.0000 0.0000  -0.02


Which structure loses on stability? B does.


--- A ---
## Tb2CeSb (PBE)

Data for a geometry-optimized Tb2CeSb structure.

Calculated values
- mass density (g/cm3) = 8.497
- SG = P4/mmm (123)

abc: 3.9473 3.9473 7.2709
angles: 90.00 90.00 90.00
Site moments in Bohr magnetons follow the coordinates.
Element x y z (fractional)
Ce 0.5000 0.5000 0.0000  0.32
Tb 0.0000 0.0000 0.2763  -0.01
Tb 0.0000 0.0000 0.7237  -0.01
Sb 0.5000 0.5000 0.5000  0.00


--- B ---
## Tb2CeSb (PBE)

Data for a geometry-optimized Tb2CeSb structure.

Calculated values
- mass density (g/cm3) = 8.800
- SG = P4/mmm (123)

abc: 4.6293 4.8611 4.8611
angles: 90.00 90.00 90.00
Site moments in Bohr magnetons follow the coordinates.
Element x y z (fractional)
Sb 0.5000 0.0000 0.0000  0.00
Tb 0.0000 0.5000 0.0000  0.01
Tb 0.0000 0.0000 0.5000  0.01
Ce 0.5000 0.5000 0.5000  0.32


Which structure loses on stability? A does.